(1)
Compound: VGa3Ge
Source: Alexandria
Functional: PBE
Structure: optimized geometry

```
5
Lattice="-0.3896 0.0729 -4.7682 1.2250 -4.6220 -0.1707 -4.6087 -1.2347 0.3577" Properties=species:S:1:pos:R:3 pbc="T T T"
V 0.0000 0.0000 0.0000
Ge -1.8867 -2.8919 -2.2906
Ga -2.3044 -0.6173 0.1788
Ga -0.1948 0.0364 -2.3841
Ga 0.6125 -2.3110 -0.0854
```

Computed properties:
Total moment = 0.00 μB/f.u.
Relative energy among the computed polymorphs = 0.00 kJ/mol of atoms
Energy of formation = 51 kJ per mole of atoms

(2)
Compound: Ac6PmY
Source: Alexandria
Functional: PBE
Structure: optimized geometry

```
8
Lattice="0.5394 5.6561 2.8928 7.3587 -0.0629 5.7766 8.9767 2.6740 0.1241" Properties=species:S:1:pos:R:3 pbc="T T T"
Ac 14.7773 5.8921 6.8025
Ac 10.6352 6.6857 6.0231
Ac 4.5687 5.0136 3.3976
Ac 6.2396 1.5815 2.7704
Ac 2.0975 2.3751 1.9910
Ac 12.3061 3.2536 5.3959
Pm 0.0000 0.0000 0.0000
Y 8.4374 4.1336 4.3968
```

Computed properties:
Total moment = 0.00 μB/f.u.
Relative energy among the computed polymorphs = 7.85 kJ/mol of atoms
Energy of formation = 10 kJ per mole of atoms

(3)
Compound: Pr3Si3Ni
Source: Alexandria
Functional: PBE
Structure: optimized geometry

```
14
Lattice="-2.7482 -3.2443 -0.4294 0.6399 -2.6542 -5.3063 7.7273 -9.9386 4.3694" Properties=species:S:1:pos:R:3 pbc="T T T"
Si -1.8028 -4.0062 -0.7233
Si 7.4218 -11.8309 -0.6431
Si 5.8491 -8.1137 2.6019
Si 2.4413 -10.2072 -2.3002
Si -0.2301 -7.7234 -3.9683
Si 3.1777 -5.6299 0.9339
Pr 2.0979 -7.1356 -2.0448
Pr 3.5211 -8.7016 0.6785
Pr 1.2577 -3.8111 -0.5199
Pr -0.6050 -4.6298 -3.6783
Pr 4.3613 -12.0261 -0.8464
Pr 6.2240 -11.2074 2.3119
Ni 0.9815 -6.5858 0.9465
Ni 4.6375 -9.2513 -2.3129
```

Computed properties:
Total moment = 0.41 μB/f.u.
Relative energy among the computed polymorphs = 0.76 kJ/mol of atoms
ΔE_f (raw) = -0.703 eV per atom